# GGA+U MoN2F, optimized geometry
# - final energy (eV per formula unit) = -23.66
# - total magnetic moment (μB per formula unit) = 0.00
# - energy relative to the lowest polymorph listed for this composition (meV/atom) = 55.0
data_MoN2F
_cell_length_a 3.0467
_cell_length_b 3.0467
_cell_length_c 17.3945
_cell_angle_alpha 90.00
_cell_angle_beta 90.00
_cell_angle_gamma 120.00
_space_group_name_H-M_alt 'R -3 m'
_space_group_IT_number 166
_space_group_name_Hall '-R 3 2"'
loop_
_atom_site_label
_atom_site_fract_x
_atom_site_fract_y
_atom_site_fract_z
Mo1 0.0000 0.0000 0.0000
N1 0.0000 0.0000 0.3956
F1 0.0000 0.0000 0.5000